PmAl3IrPt: optimized geometry, PBE.

Structure (POSCAR):
```
PmAl3IrPt
1.0
-2.021 -4.824 -2.523
4.871 -4.388 4.489
-6.337 1.810 1.614
Pm Al Ir Pt
2 6 2 2
Cartesian
-3.495 -3.813 0.065
0.008 -3.589 3.515
-2.513 -1.404 1.355
1.222 -1.101 1.126
2.638 -5.699 2.101
0.212 -3.513 -0.135
3.649 -3.287 3.363
-0.973 -5.998 2.225
-4.153 -1.565 2.977
0.666 -5.837 0.603
-0.862 -1.241 -0.278
-2.624 -6.161 3.858
```

Results
E_tot = -5.743 eV per atom


Eu3Pt: optimized geometry, PBE.

Structure (POSCAR):
```
Eu3Pt
1.0
-4.152 1.333 -1.853
-2.237 -4.223 1.975
-0.987 2.346 3.899
Eu Pt
3 1
Cartesian
-1.448 -1.328 2.290
-4.017 0.511 3.311
-2.405 1.448 0.372
-0.821 1.953 3.246
```

Results
E_tot = -9.479 eV per atom


Sr2MgTeO6: optimized geometry, PBE.

Structure (POSCAR):
```
Sr2MgTeO6
1.0
-0.969 -3.547 -4.318
-3.417 -4.473 0.701
-5.114 -0.135 -2.519
Sr Mg Te O
2 1 1 6
Cartesian
-4.917 -2.105 -2.786
-4.583 -6.050 -3.351
-2.557 -0.067 -1.260
-2.193 -4.010 -1.809
-7.407 -6.048 -4.727
-2.093 -2.107 -1.409
-2.846 -3.595 -3.596
-5.468 -4.112 -4.970
-6.653 -4.560 -2.541
-4.031 -4.043 -1.166
```

Results
Raw formation energy = -23.04 eV per formula unit


YAg2RhN: optimized geometry, PBE.

Structure (POSCAR):
```
YAg2RhN
1.0
5.085 0.000 0.000
0.000 5.071 0.000
0.000 0.000 5.085
Y Rh Ag N
1 1 2 1
Cartesian
0.000 2.535 0.000
0.000 0.000 0.000
0.000 0.000 2.542
2.542 0.000 0.000
2.542 2.535 2.542
```

Results
Raw formation energy = 6.18 eV per formula unit


U3Pt: optimized geometry, PBE.

Structure (POSCAR):
```
U3Pt
1.0
-3.585 1.987 -2.651
-1.051 -4.387 -1.867
-2.170 -0.553 2.520
U Pt
3 1
Cartesian
-1.916 -0.488 2.225
-2.952 0.698 0.021
-4.234 -1.688 -0.035
-1.320 -2.396 -0.011
```

Results
E_tot = -10.227 eV per atom


K2Cd2Ag: optimized geometry, PBE.

Structure (POSCAR):
```
K2Cd2Ag
1.0
-1.043 -1.258 -4.704
-4.477 -1.645 1.432
-3.333 15.855 -0.863
K Cd Ag
4 4 2
Cartesian
-6.724 7.920 -3.262
-1.439 1.541 -2.729
-5.696 11.605 -4.475
-2.128 5.032 -0.873
-7.789 12.300 -1.561
-5.264 4.469 -2.663
-3.588 8.483 -1.472
-2.780 0.459 0.494
-2.760 -1.451 -1.636
-5.285 6.379 -0.533
```

Results
Energy above the most stable polymorph in this dataset = 0.46 eV per formula unit